A PBEsol-optimized structure of BaLaFe. Source: Alexandria via LeMat-Bulk, functional meta-GGA SCAN.

- Symmetry: No. 216
- N(E_F): 5.38 states/eV per cell
- ΔE_f: 0.95 eV per atom
- Energy above the lowest structure with this stoichiometry: 523.8 meV/atom
- Calculated volume: 88 Å³/f.u.

Unit cell a=4.9942 b=4.9942 c=4.9942 alpha=60.00 beta=60.00 gamma=60.00
Closest atoms and distances in Å follow each position.
Fractional coordinates of all 3 atoms:
Ba: 0.0000 0.0000 0.0000  4 La 3.06
La: 0.2500 0.2500 0.2500  4 Ba 3.06, 4 Fe 3.06
Fe: 0.5000 0.5000 0.5000  4 La 3.06

A PBEsol-optimized structure of SrReMo2. Source: Alexandria via LeMat-Bulk, functional meta-GGA SCAN.

- Symmetry: No. 65
- N(E_F): 2.70 states/eV per cell
- ΔE_f: 0.78 eV per atom
- Energy above the lowest structure with this stoichiometry: 46.5 meV/atom
- Calculated volume: 72 Å³/f.u.

Unit cell a=2.7946 b=2.7946 c=9.7525 alpha=90.00 beta=90.00 gamma=109.36
Closest atoms and distances in Å follow each position.
Fractional coordinates of all 4 atoms:
Sr: 0.0000 0.0000 0.0000  4 Sr 2.79
Re: 0.0000 0.0000 0.5000  4 Mo 2.62, 4 Re 2.79
Mo: 0.5000 0.5000 0.2885  2 Re 2.62, 4 Mo 2.79
Mo: 0.5000 0.5000 0.7115  2 Re 2.62, 4 Mo 2.79

A PBEsol-optimized structure of Nb2SbC. Source: Alexandria via LeMat-Bulk, functional meta-GGA SCAN.

- Symmetry: No. 225
- N(E_F): 2.07 states/eV per cell
- E_form (uncorrected): 0.8034 eV per atom
- Calculated volume: 63 Å³/f.u.

Unit cell a=4.4549 b=4.4549 c=4.4549 alpha=60.00 beta=60.00 gamma=60.00
Closest atoms and distances in Å follow each position.
Fractional coordinates of all 4 atoms:
Nb: 0.2500 0.2500 0.2500  4 C 2.73, 4 Sb 2.73
Nb: 0.7500 0.7500 0.7500  4 C 2.73, 4 Sb 2.73
Sb: 0.0000 0.0000 0.0000  8 Nb 2.73
C: 0.5000 0.5000 0.5000  8 Nb 2.73

A PBEsol-optimized structure of Rb3FeAg. Source: Alexandria via LeMat-Bulk, functional meta-GGA SCAN.

- Symmetry: No. 221
- N(E_F): 13.89 states/eV per cell
- ΔE_f: 0.83 eV per atom
- Calculated volume: 277 Å³/f.u.

Unit cell a=6.5198 b=6.5198 c=6.5198 alpha=90.00 beta=90.00 gamma=90.00
Closest atoms and distances in Å follow each position.
Fractional coordinates of all 5 atoms:
Rb: 0.0000 0.0000 0.5000  2 Ag 3.26
Rb: 0.0000 0.5000 0.0000  2 Ag 3.26
Rb: 0.5000 0.0000 0.0000  2 Ag 3.26
Fe: 0.5000 0.5000 0.5000  12 Rb 4.61
Ag: 0.0000 0.0000 0.0000  6 Rb 3.26

A PBEsol-optimized structure of Ta2BeSi. Source: Alexandria via LeMat-Bulk, functional meta-GGA SCAN.

- Symmetry: No. 225
- N(E_F): 3.26 states/eV per cell
- E_form (uncorrected): 0.0798 eV per atom
- Energy above the lowest structure with this stoichiometry: 600.9 meV/atom
- Calculated volume: 57 Å³/f.u.

Unit cell a=4.3134 b=4.3134 c=4.3134 alpha=60.00 beta=60.00 gamma=60.00
Closest atoms and distances in Å follow each position.
Fractional coordinates of all 4 atoms:
Ta: 0.2500 0.2500 0.2500  4 Be 2.64, 4 Si 2.64
Ta: 0.7500 0.7500 0.7500  4 Be 2.64, 4 Si 2.64
Be: 0.0000 0.0000 0.0000  8 Ta 2.64
Si: 0.5000 0.5000 0.5000  8 Ta 2.64

A PBEsol-optimized structure of CaTeAs2. Source: Alexandria via LeMat-Bulk, functional meta-GGA SCAN.

- Symmetry: No. 122
- N(E_F): 1.06 states/eV per cell
- E_form (uncorrected): -0.1696 eV per atom
- Calculated volume: 136 Å³/f.u.

Unit cell a=8.2895 b=8.2895 c=8.2895 alpha=136.00 beta=136.00 gamma=63.98
Closest atoms and distances in Å follow each position.
Fractional coordinates of all 8 atoms:
Ca: 0.0000 0.0000 0.0000  4 As 2.90
Ca: 0.7500 0.2500 0.5000  4 As 2.90
Te: 0.2500 0.7500 0.5000  4 As 2.73
Te: 0.5000 0.5000 0.0000  4 As 2.73
As: 0.1494 0.6250 0.0244  2 Te 2.73, 2 Ca 2.90
As: 0.3750 0.3994 0.5244  2 Te 2.73, 2 Ca 2.90
As: 0.6006 0.1250 0.9756  2 Te 2.73, 2 Ca 2.90
As: 0.8750 0.8506 0.4756  2 Te 2.73, 2 Ca 2.90

What is the calculated volume in the fifth record? 57 Å³/f.u.